# InNiIr2

A geometry-optimized InNiIr2 structure (PBE-GGA, Alexandria via LeMat-Bulk).

The structure in POSCAR format:
```
InNiIr2
1.0
3.7944 0.0000 0.0000
0.0000 2.8171 0.0103
0.0000 2.7900 5.6913
In Ir Ni
1 2 1
Cartesian
1.8972 4.2048 4.2127 In
0.0000 2.8155 0.1671 Ir
1.8972 1.4024 1.4559 Ir
0.0000 2.8050 2.7272 Ni
```

## Properties
energy of formation from the pure elements = 0.0636 eV per atom
DOS(E_F) = 5.1 states/eV/f.u.
total magnetization = 0.00 μB/f.u.
symmetry = No. 25